No. 1
Material: Sr2Li12Hg7
Method: DFT, PBE-GGA
State: optimized geometry

Total moment, μB per formula unit: 0.00
Raw total energy, eV/atom: -1.672

abc: 10.699 10.699 4.525
angles: 90.00 90.00 120.00
Fractional coordinates of all 21 atoms:
1 Sr 0.000 0.000 0.000
2 Sr 0.333 0.667 0.500
3 Li 0.004 0.712 0.500
4 Li 0.157 0.378 0.000
5 Li 0.222 0.843 0.000
6 Li 0.288 0.292 0.500
7 Li 0.381 0.174 0.000
8 Li 0.546 0.146 0.500
9 Li 0.600 0.454 0.500
10 Li 0.622 0.778 0.000
11 Li 0.708 0.996 0.500
12 Li 0.794 0.619 0.000
13 Li 0.826 0.206 0.000
14 Li 0.854 0.400 0.500
15 Hg 0.030 0.550 0.000
16 Hg 0.242 0.003 0.500
17 Hg 0.450 0.480 0.000
18 Hg 0.520 0.970 0.000
19 Hg 0.667 0.333 0.000
20 Hg 0.760 0.758 0.500
21 Hg 0.997 0.240 0.500


No. 2
Material: Sr2Li2Hg3
Method: DFT, PBE-GGA
State: optimized geometry

Total moment, μB per formula unit: 0.00
Raw total energy, eV/atom: -1.558

abc: 10.686 10.686 8.397
angles: 90.00 90.00 155.84
Fractional coordinates of all 14 atoms:
1 Sr 0.057 0.943 0.750
2 Sr 0.157 0.843 0.250
3 Sr 0.843 0.157 0.750
4 Sr 0.943 0.057 0.250
5 Li 0.307 0.693 0.060
6 Li 0.307 0.693 0.440
7 Li 0.693 0.307 0.560
8 Li 0.693 0.307 0.940
9 Hg 0.224 0.776 0.750
10 Hg 0.435 0.565 0.565
11 Hg 0.435 0.565 0.935
12 Hg 0.565 0.435 0.065
13 Hg 0.565 0.435 0.435
14 Hg 0.776 0.224 0.250


No. 3
Material: Sr4LiHg
Method: DFT, PBE-GGA
State: optimized geometry

Total moment, μB per formula unit: 0.00
Raw total energy, eV/atom: -1.664

abc: 4.145 4.145 14.333
angles: 90.00 90.00 90.00
Fractional coordinates of all 6 atoms:
1 Sr 0.000 0.000 0.133
2 Sr 0.000 0.000 0.867
3 Sr 0.500 0.500 0.353
4 Sr 0.500 0.500 0.647
5 Li 0.000 0.000 0.500
6 Hg 0.500 0.500 0.000


| no. | DOS(E_F) (states/eV/atom) |
| --- | --- |
| 1 | 0.562 |
| 2 | 0.604 |
| 3 | 0.967 |